(1)
This record from Alexandria via LeMat-Bulk describes an optimized crystal structure of HgHPt2. The functional is PBE.

a = 2.9973 Å, b = 2.9973 Å, c = 21.0636 Å
α = 90.00°, β = 90.00°, γ = 120.00°
Last column: nearest neighbours and their distance in Å.
Space group R-3m (No. 166, hexagonal axes)
One atom of each set of equivalent atoms:
Hg: 0.0000 0.0000 0.0000  6 Pt 2.89, 6 Hg 3.00
H: 0.0000 0.0000 0.5000  6 Pt 2.10
Pt: 0.0000 0.0000 0.2233  3 H 2.10

Summary:
Fermi-level density of states   0.44 states/eV per atom
Total DFT energy (no corrections)   -45.4 eV/cell


(2)
This record from Alexandria via LeMat-Bulk describes an optimized crystal structure of Hg3H2Pt4. The functional is PBE.

a = 11.7869 Å, b = 8.8265 Å, c = 5.5687 Å
α = 90.00°, β = 100.24°, γ = 90.00°
Last column: nearest neighbours and their distance in Å.
Space group C2/c (No. 15)
One atom of each set of equivalent atoms:
Hg: 0.0000 0.0985 0.2500  2 H 2.72, 6 Pt 2.75-3.04, 2 Hg 2.98
Hg: 0.1011 0.3674 0.5346  1 H 2.74, 6 Pt 2.82-2.94, 1 Hg 2.98
H: 0.1542 0.1323 0.8577  3 Pt 1.80-2.01
Pt: 0.1405 0.3040 0.0393  1 H 1.84
Pt: 0.2039 0.0091 0.6395  2 H 1.80-2.01

Summary:
Fermi-level density of states   0.25 states/eV per atom
Total DFT energy (no corrections)   -124.4 eV/cell


(3)
This record from Alexandria via LeMat-Bulk describes an optimized crystal structure of HgH2Pt2. The functional is PBE.

a = 5.9657 Å, b = 9.4728 Å, c = 5.5568 Å
α = 90.00°, β = 121.74°, γ = 90.00°
Last column: nearest neighbours and their distance in Å.
Space group C2/c (No. 15)
One atom of each set of equivalent atoms:
Hg: 0.0000 0.1159 0.2500  4 H 2.57-2.72, 4 Pt 2.77-2.82
H: 0.2027 0.3651 0.2092  2 Pt 1.72
Pt: 0.0000 0.5000 0.0000  2 H 1.72
Pt: 0.2500 0.2500 0.0000  2 H 1.72

Summary:
Fermi-level density of states   0.27 states/eV per atom
Total DFT energy (no corrections)   -75.3 eV/cell


(4)
This record from Alexandria via LeMat-Bulk describes an optimized crystal structure of HgH7Pt4. The functional is PBE.

a = 9.3364 Å, b = 5.5834 Å, c = 4.9200 Å
α = 90.00°, β = 90.00°, γ = 90.00°
Last column: nearest neighbours and their distance in Å.
Space group Pmn2_1 (No. 31)
One atom of each set of equivalent atoms:
Hg: 0.0000 0.2475 0.0000  9 H 2.74-3.03, 4 Pt 2.80-3.06
H: 0.0000 0.5804 0.4079  2 Pt 1.76
H: 0.1183 0.7025 0.7505  2 Pt 1.73-1.74
H: 0.1432 0.8800 0.2971  2 Pt 1.77-1.79
H: 0.1474 0.3052 0.5175  2 Pt 1.72-1.74
Pt: 0.1869 0.6001 0.4448  4 H 1.72-1.77
Pt: 0.2140 0.8968 0.9592  3 H 1.74-1.79

Summary:
Fermi-level density of states   0.24 states/eV per atom
Total DFT energy (no corrections)   -94.3 eV/cell


(5)
This record from Alexandria via LeMat-Bulk describes an optimized crystal structure of HgHPt2. The functional is PBE.

a = 5.5433 Å, b = 2.7960 Å, c = 15.9865 Å
α = 90.00°, β = 90.00°, γ = 90.00°
Last column: nearest neighbours and their distance in Å.
Space group Pnma (No. 62)
One atom of each set of equivalent atoms:
Hg: 0.2476 0.2500 0.1032  1 H 2.54, 2 Pt 2.79, 2 Hg 2.80
H: 0.2473 0.7500 0.4445  2 Pt 1.77
Pt: 0.0024 0.2500 0.7500  8 Pt 2.77-2.82, 4 Hg 3.06
Pt: 0.2476 0.2500 0.3766  2 H 1.77

Summary:
Fermi-level density of states   0.45 states/eV per atom
Total DFT energy (no corrections)   -61.8 eV/cell


(6)
This record from Alexandria via LeMat-Bulk describes an optimized crystal structure of Hg2HPt. The functional is PBE.

a = 7.0166 Å, b = 8.3161 Å, c = 2.9578 Å
α = 90.00°, β = 113.19°, γ = 90.00°
Last column: nearest neighbours and their distance in Å.
Space group Cm (No. 8)
One atom of each set of equivalent atoms:
Hg: 0.0000 0.2181 0.0000  3 Pt 2.80-2.93, 2 H 2.82-2.85, 2 Hg 2.96
H: 0.0898 0.5000 0.5939  2 Pt 1.75-1.76
Pt: 0.2365 0.5000 0.2289  2 H 1.75-1.76

Summary:
Fermi-level density of states   0.28 states/eV per atom
Total DFT energy (no corrections)   -19.9 eV/cell


(7)
This record from Alexandria via LeMat-Bulk describes an optimized crystal structure of HgHPt. The functional is PBE.

a = 10.6459 Å, b = 3.1291 Å, c = 5.4498 Å
α = 90.00°, β = 100.25°, γ = 90.00°
Last column: nearest neighbours and their distance in Å.
Space group C2/m (No. 12)
One atom of each set of equivalent atoms:
Hg: 0.1110 0.0000 0.2956  2 H 2.67, 5 Pt 2.77-2.99
H: 0.0956 0.5000 0.7640  2 Pt 1.73
Pt: 0.1660 0.0000 0.8122  2 H 1.73

Summary:
Fermi-level density of states   0.21 states/eV per atom
Total DFT energy (no corrections)   -38.6 eV/cell


(8)
This record from Alexandria via LeMat-Bulk describes an optimized crystal structure of Hg2HPt. The functional is PBE.

a = 5.6179 Å, b = 5.7461 Å, c = 5.7689 Å
α = 93.74°, β = 118.30°, γ = 112.79°
Last column: nearest neighbours and their distance in Å.
Space group P-1 (No. 2)
One atom of each set of equivalent atoms:
Hg: 0.0000 0.0000 0.0000  4 Pt 2.81-2.92, 4 Hg 2.94-3.07
Hg: 0.1236 0.4632 0.7988  2 Pt 2.74-2.96, 1 H 2.94, 1 Hg 2.94
Hg: 0.5000 0.5000 0.5000  2 Pt 2.87, 2 H 2.92, 4 Hg 3.07-3.19
H: 0.3182 0.0273 0.6692  2 Pt 1.74-1.75
Pt: 0.5000 0.0000 0.0000  2 H 1.74
Pt: 0.5000 0.0000 0.5000  2 H 1.75

Summary:
Fermi-level density of states   0.23 states/eV per atom
Total DFT energy (no corrections)   -20.0 eV/cell


(9)
This record from Alexandria via LeMat-Bulk describes an optimized crystal structure of HgH8Pt2. The functional is PBE.

a = 17.0445 Å, b = 5.4611 Å, c = 2.9429 Å
α = 90.00°, β = 90.87°, γ = 90.00°
Last column: nearest neighbours and their distance in Å.
Space group C2/m (No. 12)
One atom of each set of equivalent atoms:
Hg: 0.0000 0.0000 0.0000  4 Pt 2.77, 2 Hg 2.94
H: 0.1401 0.3193 0.5125  1 H 0.99
H: 0.1408 0.5000 0.5126  2 H 0.99
H: 0.1911 0.0000 0.0169  2 Pt 1.73
Pt: 0.1378 0.0000 0.5123  4 H 1.73-1.74

Summary:
Fermi-level density of states   0.23 states/eV per atom
Total DFT energy (no corrections)   -75.3 eV/cell


(10)
This record from Alexandria via LeMat-Bulk describes an optimized crystal structure of Hg2HPt. The functional is PBE.

a = 5.1206 Å, b = 5.1206 Å, c = 12.1724 Å
α = 90.00°, β = 90.00°, γ = 90.00°
Last column: nearest neighbours and their distance in Å.
Space group I-42d (No. 122)
One atom of each set of equivalent atoms:
Hg: 0.1447 0.2500 0.1250  2 H 2.12
H: 0.0000 0.0000 0.0000  4 Hg 2.12
Pt: 0.0000 0.0000 0.5000  4 Hg 2.70

Summary:
Fermi-level density of states   0.38 states/eV per atom
Total DFT energy (no corrections)   -30.5 eV/cell


(11)
This record from Alexandria via LeMat-Bulk describes an optimized crystal structure of Hg3H2Pt. The functional is PBE.

a = 7.3368 Å, b = 7.4817 Å, c = 8.2583 Å
α = 90.00°, β = 91.73°, γ = 90.00°
Last column: nearest neighbours and their distance in Å.
Space group C2/c (No. 15)
One atom of each set of equivalent atoms:
Hg: 0.0000 0.0594 0.2500  2 H 2.20
Hg: 0.0008 0.2743 0.5528  2 Pt 2.73-2.77, 1 H 2.94, 2 Hg 2.97-2.98
H: 0.2283 0.4351 0.2585  1 Pt 1.67
Pt: 0.0000 0.4331 0.2500  2 H 1.67

Summary:
Fermi-level density of states   0.18 states/eV per atom
Total DFT energy (no corrections)   -51.9 eV/cell


(12)
This record from Alexandria via LeMat-Bulk describes an optimized crystal structure of Hg2HPt3. The functional is PBE.

a = 2.9829 Å, b = 21.5702 Å, c = 5.8529 Å
α = 90.00°, β = 90.00°, γ = 90.00°
Last column: nearest neighbours and their distance in Å.
Space group Cmc2_1 (No. 36)
One atom of each set of equivalent atoms:
Hg: 0.0000 0.0019 0.0000  8 Pt 2.92-2.94, 4 Hg 2.93-2.98
Hg: 0.0000 0.1949 0.5071  8 Pt 2.81-2.98, 2 Hg 2.98
H: 0.0000 0.3562 0.4992  4 Pt 1.85-1.86
Pt: 0.0000 0.1947 0.0089  2 H 1.85
Pt: 0.0000 0.4049 0.2387  1 H 1.85
Pt: 0.0000 0.4048 0.7622  1 H 1.86

Summary:
Fermi-level density of states   0.35 states/eV per atom
Total DFT energy (no corrections)   -86.4 eV/cell


(13)
This record from Alexandria via LeMat-Bulk describes an optimized crystal structure of HgHPt2. The functional is PBE.

a = 3.0507 Å, b = 3.0507 Å, c = 20.8463 Å
α = 90.00°, β = 90.00°, γ = 120.00°
Last column: nearest neighbours and their distance in Å.
Space group R3m (No. 160, hexagonal axes)
One atom of each set of equivalent atoms:
Hg: 0.0000 0.0000 0.0000  6 Pt 2.85-2.95, 6 Hg 3.05
H: 0.0000 0.0000 0.8007  3 Pt 1.81
Pt: 0.0000 0.0000 0.2259  3 H 2.60, 3 Hg 2.85
Pt: 0.0000 0.0000 0.4468  3 H 1.81

Summary:
Fermi-level density of states   0.44 states/eV per atom
Total DFT energy (no corrections)   -45.8 eV/cell


(14)
This record from Alexandria via LeMat-Bulk describes an optimized crystal structure of Hg3HPt. The functional is PBE.

a = 4.4070 Å, b = 4.4070 Å, c = 4.4070 Å
α = 90.00°, β = 90.00°, γ = 90.00°
Last column: nearest neighbours and their distance in Å.
Space group Pm-3m (No. 221)
One atom of each set of equivalent atoms:
Hg: 0.0000 0.0000 0.5000  2 H 2.20
H: 0.0000 0.0000 0.0000  6 Hg 2.20
Pt: 0.5000 0.5000 0.5000  12 Hg 3.12

Summary:
Fermi-level density of states   0.41 states/eV per atom
Total DFT energy (no corrections)   -7.9 eV/cell


(15)
This record from Alexandria via LeMat-Bulk describes an optimized crystal structure of HgHPt. The functional is PBE.

a = 3.1960 Å, b = 3.1960 Å, c = 4.6459 Å
α = 90.00°, β = 90.00°, γ = 120.00°
Last column: nearest neighbours and their distance in Å.
Space group P-6m2 (No. 187)
One atom of each set of equivalent atoms:
Hg: 0.0000 0.0000 0.0000  6 Pt 2.97, 6 H 2.97, 6 Hg 3.20
H: 0.3333 0.6667 0.5000  3 Pt 1.85
Pt: 0.6667 0.3333 0.5000  3 H 1.85

Summary:
Fermi-level density of states   0.23 states/eV per atom
Total DFT energy (no corrections)   -9.5 eV/cell


(16)
This record from Alexandria via LeMat-Bulk describes an optimized crystal structure of HgH3Pt3. The functional is PBE.

a = 5.6467 Å, b = 5.6467 Å, c = 20.9493 Å
α = 90.00°, β = 90.00°, γ = 120.00°
Last column: nearest neighbours and their distance in Å.
Space group R-3m (No. 166, hexagonal axes)
One atom of each set of equivalent atoms:
Hg: 0.0000 0.0000 0.1651  3 H 2.68, 6 Pt 2.83-2.91
H: 0.0223 0.5111 0.0706  2 Pt 1.74
Pt: 0.0053 0.5027 0.6129  2 H 1.74

Summary:
Fermi-level density of states   0.34 states/eV per atom
Total DFT energy (no corrections)   -169.1 eV/cell


(17)
This record from Alexandria via LeMat-Bulk describes an optimized crystal structure of Hg2H3Pt2. The functional is PBE.

a = 10.6088 Å, b = 2.7993 Å, c = 7.0244 Å
α = 90.00°, β = 110.16°, γ = 90.00°
Last column: nearest neighbours and their distance in Å.
Space group C2/m (No. 12)
One atom of each set of equivalent atoms:
Hg: 0.1916 0.0000 0.2421  3 Pt 2.78-2.91, 2 Hg 2.80, 5 H 2.80-3.05
H: 0.0000 0.5000 0.5000  4 Pt 2.01
H: 0.0796 0.5000 0.8773  2 Pt 1.76
Pt: 0.0606 0.0000 0.7189  2 H 1.76

Summary:
Fermi-level density of states   0.16 states/eV per atom
Total DFT energy (no corrections)   -44.8 eV/cell


(18)
This record from Alexandria via LeMat-Bulk describes an optimized crystal structure of HgH6Pt4. The functional is PBE.

a = 10.7893 Å, b = 5.5532 Å, c = 4.3127 Å
α = 90.00°, β = 111.73°, γ = 90.00°
Last column: nearest neighbours and their distance in Å.
Space group Cm (No. 8)
One atom of each set of equivalent atoms:
Hg: 0.0000 0.0000 0.0000  1 H 2.08
H: 0.1191 0.2778 0.5864  2 Pt 1.73
H: 0.1780 0.5000 0.2026  3 Pt 1.75-1.86
H: 0.2960 0.5000 0.8939  2 Pt 1.74
H: 0.3614 0.2269 0.3990  2 Pt 1.68-1.80
Pt: 0.0356 0.5000 0.3063  3 H 1.73-1.75
Pt: 0.2276 0.2421 0.9969  4 H 1.73-1.86
Pt: 0.3645 0.0000 0.6599  2 H 1.68

Summary:
Fermi-level density of states   0.12 states/eV per atom
Total DFT energy (no corrections)   -87.7 eV/cell


(19)
This record from Alexandria via LeMat-Bulk describes an optimized crystal structure of Hg3HPt. The functional is PBE.

a = 8.3413 Å, b = 5.2820 Å, c = 10.0088 Å
α = 90.00°, β = 112.19°, γ = 90.00°
Last column: nearest neighbours and their distance in Å.
Space group P2_1/c (No. 14)
One atom of each set of equivalent atoms:
Hg: 0.0185 0.1012 0.1488  2 Pt 2.84-2.85, 3 Hg 3.02-3.11, 2 H 3.06-3.09
Hg: 0.3138 0.5983 0.9414  2 H 2.79-2.90, 2 Pt 2.80-2.81, 3 Hg 3.02-3.11
Hg: 0.3888 0.1295 0.1445  3 Pt 2.79-2.87, 2 H 2.85-2.88, 2 Hg 3.11
H: 0.2432 0.5833 0.2035  1 Pt 1.61
Pt: 0.2926 0.0998 0.8413  1 H 1.61

Summary:
Fermi-level density of states   0.18 states/eV per atom
Total DFT energy (no corrections)   -40.2 eV/cell


(20)
This record from Alexandria via LeMat-Bulk describes an optimized crystal structure of Rb2HgHPt. The functional is PBE.

a = 6.3137 Å, b = 6.3137 Å, c = 3.5240 Å
α = 90.00°, β = 90.00°, γ = 90.00°
Last column: nearest neighbours and their distance in Å.
Space group P4/mmm (No. 123)
One atom of each set of equivalent atoms:
Rb: 0.0000 0.5000 0.0000  2 H 3.16, 2 Rb 3.52
Hg: 0.0000 0.0000 0.5000  2 Hg 3.52, 8 Rb 3.62
H: 0.5000 0.5000 0.0000  2 Pt 1.76
Pt: 0.5000 0.5000 0.5000  2 H 1.76

Summary:
Fermi-level density of states   0.21 states/eV per atom
Total DFT energy (no corrections)   -12.2 eV/cell


(21)
This record from Alexandria via LeMat-Bulk describes an optimized crystal structure of Rb2HgHPt. The functional is PBE.

a = 6.5474 Å, b = 6.5474 Å, c = 3.5230 Å
α = 90.00°, β = 90.00°, γ = 90.00°
Last column: nearest neighbours and their distance in Å.
Space group P4/mmm (No. 123)
One atom of each set of equivalent atoms:
Rb: 0.0000 0.5000 0.0000  2 Pt 3.27, 2 Rb 3.52
Hg: 0.0000 0.0000 0.5000  2 Hg 3.52, 8 Rb 3.72
H: 0.5000 0.5000 0.5000  2 Pt 1.76
Pt: 0.5000 0.5000 0.0000  2 H 1.76

Summary:
Fermi-level density of states   0.46 states/eV per atom
Total DFT energy (no corrections)   -11.8 eV/cell


(22)
This record from Alexandria via LeMat-Bulk describes an optimized crystal structure of HgHPtRh2. The functional is PBE.

a = 4.1011 Å, b = 4.1011 Å, c = 3.9680 Å
α = 90.00°, β = 90.00°, γ = 90.00°
Last column: nearest neighbours and their distance in Å.
Space group P4/mmm (No. 123)
One atom of each set of equivalent atoms:
Hg: 0.0000 0.0000 0.0000  8 Rh 2.85, 4 Pt 2.90
H: 0.5000 0.5000 0.5000  2 Pt 1.98, 4 Rh 2.05
Pt: 0.5000 0.5000 0.0000  2 H 1.98
Rh: 0.0000 0.5000 0.5000  2 H 2.05

Summary:
Fermi-level density of states   0.85 states/eV per atom
Total DFT energy (no corrections)   -24.0 eV/cell